Computed, not measured: a relaxed structure of LiFeP2O7 at the PBEsol level of DFT.

The structure belongs to space group P-1 (No. 2); the cell edges are 6.0530, 6.8820 and 7.6212 Å and the angles 72.18°, 81.07° and 65.71°. The distinct sites, in fractional coordinates, are Li at (0.0000, 0.0000, 0.0000), Li at (0.0000, 0.0000, 0.5000), Fe at (0.3081, 0.2454, 0.2323), P at (0.2420, 0.2113, 0.6841), P at (0.2651, 0.5689, 0.7880), O at (0.0201, 0.7686, 0.7731), O at (0.0229, 0.2198, 0.8086), O at (0.2164, 0.1770, 0.4997), O at (0.2660, 0.4467, 0.6379), O at (0.3019, 0.4044, 0.9766), O at (0.4667, 0.6531, 0.7158) and O at (0.4859, 0.0426, 0.7730).

The calculation puts the calculated density at 2.855 g cm⁻³. The calculation puts the magnetization at 10.0 μB/cell. Its electronic total energy is -162.0 eV per cell. The uncorrected formation energy comes out at -1.977 eV per atom. Its distance to the lowest polymorph of the same formula is 0.0607 eV per atom.